Entry 1:
VASP calculation (GGA-PBE) on crystalline TcAg3B at its relaxed geometry.

Results
Crystal system = cubic
M_tot = 3.2 μB/f.u.
Uncorrected energy = -14.10 eV/cell
Offset from the most stable computed form = 1336.8 meV per atom

Cell lengths 5.1586, 5.1586, 5.1586 Å; angles 90.00, 90.00, 90.00 degrees
Closest atoms and distances in Å follow each position.
Positions (direct):
Ag: 0.5000 0.0000 0.0000  2 Tc 2.58
B: 0.5000 0.5000 0.5000  12 Ag 3.65
Tc: 0.0000 0.0000 0.0000  6 Ag 2.58
Ag: 0.0000 0.0000 0.5000  2 Tc 2.58
Ag: 0.0000 0.5000 0.0000  2 Tc 2.58


Entry 2:
VASP calculation (GGA-PBE) on crystalline V2TcAgB at its relaxed geometry.

Results
Crystal system = tetragonal
M_tot = 0.0 μB/f.u.
Uncorrected energy = -37.23 eV/cell

Cell lengths 4.0937, 4.0866, 4.0937 Å; angles 90.00, 90.00, 90.00 degrees
Closest atoms and distances in Å follow each position.
Positions (direct):
Tc: 0.0000 0.5000 0.0000  2 B 2.04
V: 0.5000 0.0000 0.0000  2 B 2.05
Ag: 0.5000 0.5000 0.5000  8 V 2.89, 4 Tc 2.89
V: 0.0000 0.0000 0.5000  2 B 2.05
B: 0.0000 0.0000 0.0000  2 Tc 2.04, 4 V 2.05


Entry 3:
VASP calculation (GGA-PBE) on crystalline AgBTe3 at its relaxed geometry.

Results
Crystal system = monoclinic
M_tot = 0.0 μB/f.u.
Uncorrected energy = -35.39 eV/cell
Energy relative to the elements, uncorrected = 0.252 eV/atom
Offset from the most stable computed form = 0.0 meV per atom

Cell lengths 3.5683, 10.0103, 10.2349 Å; angles 113.12, 90.00, 90.00 degrees
Closest atoms and distances in Å follow each position.
Positions (direct):
Te: 0.2500 0.3004 0.5495  2 B 2.19
Te: 0.2500 0.9170 0.8057  1 B 2.16
Ag: 0.2500 0.2395 0.0813  4 Te 2.84-2.90
Te: 0.7500 0.3726 0.9529  2 Ag 2.84, 2 Te 2.95
Te: 0.2500 0.6274 0.0471  2 Ag 2.84, 2 Te 2.95
Ag: 0.7500 0.7605 0.9187  4 Te 2.84-2.90
B: 0.2500 0.7780 0.5820  3 Te 2.16-2.19
B: 0.7500 0.2220 0.4180  3 Te 2.16-2.19
Te: 0.7500 0.0830 0.1943  1 B 2.16
Te: 0.7500 0.6996 0.4505  2 B 2.19


Entry 4:
VASP calculation (GGA-PBE) on crystalline AgB3Te at its relaxed geometry.

Results
Crystal system = cubic
M_tot = 0.0 μB/f.u.
Uncorrected energy = -14.81 eV/cell
Energy relative to the elements, uncorrected = 2.242 eV/atom
Offset from the most stable computed form = 348.2 meV per atom

Cell lengths 4.4683, 4.4683, 4.4683 Å; angles 90.00, 90.00, 90.00 degrees
Closest atoms and distances in Å follow each position.
Positions (direct):
B: 0.0000 0.5000 0.0000  2 Te 2.23
B: 0.0000 0.0000 0.5000  2 Te 2.23
B: 0.5000 0.0000 0.0000  2 Te 2.23
Ag: 0.5000 0.5000 0.5000  12 B 3.16
Te: 0.0000 0.0000 0.0000  6 B 2.23


Entry 5:
VASP calculation (GGA-PBE) on crystalline AgB2Te at its relaxed geometry.

Results
Crystal system = tetragonal
M_tot = 0.0 μB/f.u.
Uncorrected energy = -30.07 eV/cell
Energy relative to the elements, uncorrected = 1.078 eV/atom

Cell lengths 5.3312, 5.3312, 6.2044 Å; angles 64.56, 64.56, 90.00 degrees
Closest atoms and distances in Å follow each position.
Positions (direct):
B: 0.8750 0.8645 0.7500  2 Ag 2.22, 2 Te 2.29
B: 0.1355 0.6250 0.2500  2 Ag 2.22, 2 Te 2.29
B: 0.3750 0.3855 0.7500  2 Ag 2.22, 2 Te 2.29
B: 0.6145 0.1250 0.2500  2 Ag 2.22, 2 Te 2.29
Ag: 0.5000 0.5000 0.0000  4 B 2.22
Ag: 0.2500 0.7500 0.5000  4 B 2.22
Te: 0.0000 0.0000 0.0000  4 B 2.29
Te: 0.7500 0.2500 0.5000  4 B 2.29


Entry 6:
VASP calculation (GGA-PBE) on crystalline AgBTe3 at its relaxed geometry.

Results
Crystal system = cubic
M_tot = 0.0 μB/f.u.
Uncorrected energy = -15.16 eV/cell
Energy relative to the elements, uncorrected = 0.758 eV/atom
Offset from the most stable computed form = 506.8 meV per atom

Cell lengths 4.9058, 4.9058, 4.9058 Å; angles 90.00, 90.00, 90.00 degrees
Closest atoms and distances in Å follow each position.
Positions (direct):
B: 0.0000 0.0000 0.0000  6 Te 2.45
Te: 0.0000 0.5000 0.0000  2 B 2.45
Te: 0.0000 0.0000 0.5000  2 B 2.45
Ag: 0.5000 0.5000 0.5000  12 Te 3.47
Te: 0.5000 0.0000 0.0000  2 B 2.45


Entry 7:
VASP calculation (GGA-PBE) on crystalline Ag2BTe2 at its relaxed geometry.

Results
Crystal system = tetragonal
M_tot = 0.0 μB/f.u.
Uncorrected energy = -14.34 eV/cell
Energy relative to the elements, uncorrected = 0.864 eV/atom
Offset from the most stable computed form = 100.7 meV per atom

Cell lengths 3.9010, 3.9010, 8.1214 Å; angles 76.10, 76.10, 90.00 degrees
Closest atoms and distances in Å follow each position.
Positions (direct):
Ag: 0.7500 0.2500 0.5000  4 Ag 2.76, 4 Te 2.95
B: 0.0000 0.0000 0.0000  8 Te 3.19
Te: 0.3946 0.3946 0.2108  4 Ag 2.95, 4 B 3.19, 1 Te 3.22
Ag: 0.2500 0.7500 0.5000  4 Ag 2.76, 4 Te 2.95
Te: 0.6054 0.6054 0.7892  4 Ag 2.95, 4 B 3.19, 1 Te 3.22


Entry 8:
VASP calculation (GGA-PBE) on crystalline Ag2BTe2 at its relaxed geometry.

Results
Crystal system = tetragonal
M_tot = 0.0 μB/f.u.
Uncorrected energy = -29.69 eV/cell
Energy relative to the elements, uncorrected = 0.764 eV/atom
Offset from the most stable computed form = 0.0 meV per atom

Cell lengths 7.0311, 7.0311, 4.6632 Å; angles 90.00, 90.00, 90.00 degrees
Closest atoms and distances in Å follow each position.
Positions (direct):
B: 0.0000 0.0000 0.0000  4 Te 2.53
Te: 0.7973 0.7027 0.0000  2 B 2.53, 2 Ag 2.81
Ag: 0.8600 0.3600 0.5000  1 Ag 2.78, 2 Te 2.81
Ag: 0.1400 0.6400 0.5000  1 Ag 2.78, 2 Te 2.81
Te: 0.2027 0.2973 0.0000  2 B 2.53, 2 Ag 2.81
B: 0.5000 0.5000 0.0000  4 Te 2.53
Te: 0.2973 0.7973 0.0000  2 B 2.53, 2 Ag 2.81
Te: 0.7027 0.2027 0.0000  2 B 2.53, 2 Ag 2.81
Ag: 0.6400 0.8600 0.5000  1 Ag 2.78, 2 Te 2.81
Ag: 0.3600 0.1400 0.5000  1 Ag 2.78, 2 Te 2.81


Entry 9:
VASP calculation (GGA-PBE) on crystalline Ag2BTe at its relaxed geometry.

Results
Crystal system = cubic
M_tot = 0.0 μB/f.u.
Uncorrected energy = -11.64 eV/cell
Energy relative to the elements, uncorrected = 0.971 eV/atom
Offset from the most stable computed form = 242.3 meV per atom

Cell lengths 4.7808, 4.7808, 4.7808 Å; angles 60.00, 60.00, 60.00 degrees
Closest atoms and distances in Å follow each position.
Positions (direct):
Ag: 0.7500 0.7500 0.7500  4 Te 2.93, 4 B 2.93
Ag: 0.2500 0.2500 0.2500  4 Te 2.93, 4 B 2.93
Te: 0.5000 0.5000 0.5000  8 Ag 2.93
B: 0.0000 0.0000 0.0000  8 Ag 2.93


Entry 10:
VASP calculation (GGA-PBE) on crystalline Ag2BTe at its relaxed geometry.

Results
Crystal system = tetragonal
M_tot = 0.0 μB/f.u.
Uncorrected energy = -25.21 eV/cell
Energy relative to the elements, uncorrected = 0.729 eV/atom
Offset from the most stable computed form = 0.0 meV per atom

Cell lengths 4.8269, 4.8269, 8.0306 Å; angles 72.51, 72.51, 90.00 degrees
Closest atoms and distances in Å follow each position.
Positions (direct):
Ag: 0.8750 0.7643 0.7500  2 B 2.28
Ag: 0.3750 0.4857 0.7500  2 B 2.28
B: 0.2500 0.7500 0.5000  4 Ag 2.28
Te: 0.0000 0.0000 0.0000  4 Ag 2.79
Te: 0.7500 0.2500 0.5000  4 Ag 2.79
B: 0.5000 0.5000 0.0000  4 Ag 2.28
Ag: 0.5143 0.1250 0.2500  2 B 2.28
Ag: 0.2357 0.6250 0.2500  2 B 2.28


Entry 11:
VASP calculation (GGA-PBE) on crystalline Ag2BTe5 at its relaxed geometry.

Results
Crystal system = triclinic
M_tot = 0.0 μB/f.u.
Uncorrected energy = -27.04 eV/cell
Energy relative to the elements, uncorrected = 0.132 eV/atom

Cell lengths 5.4920, 8.2711, 6.4427 Å; angles 117.19, 109.13, 72.67 degrees
Closest atoms and distances in Å follow each position.
Positions (direct):
Ag: 0.0866 0.6448 0.2170  4 Te 2.73-2.86
Te: 0.0761 0.9828 0.6246  1 B 2.27
Te: 0.7525 0.1938 0.0815  1 B 2.29
Ag: 0.5895 0.1407 0.4276  4 Te 2.77-2.90
Te: 0.7578 0.6817 0.7866  1 B 2.35
B: 0.9932 0.9136 0.8945  4 Te 2.27-2.35
Te: 0.3817 0.8155 0.1066  1 B 2.27
Te: 0.1397 0.4041 0.4156  2 Ag 2.73-2.77, 1 Te 2.82


Entry 12:
VASP calculation (GGA-PBE) on crystalline AgBTe3 at its relaxed geometry.

Results
Crystal system = cubic
M_tot = 0.0 μB/f.u.
Uncorrected energy = -11.93 eV/cell
Energy relative to the elements, uncorrected = 1.404 eV/atom
Offset from the most stable computed form = 1152.5 meV per atom

Cell lengths 5.4341, 5.4341, 5.4341 Å; angles 90.00, 90.00, 90.00 degrees
Closest atoms and distances in Å follow each position.
Positions (direct):
Te: 0.0000 0.5000 0.0000  2 Ag 2.72
Te: 0.0000 0.0000 0.5000  2 Ag 2.72
Ag: 0.0000 0.0000 0.0000  6 Te 2.72
Te: 0.5000 0.0000 0.0000  2 Ag 2.72
B: 0.5000 0.5000 0.5000  12 Te 3.84


Entry 13:
VASP calculation (GGA-PBE) on crystalline AgB3Te at its relaxed geometry.

Results
Crystal system = cubic
M_tot = 0.0 μB/f.u.
Uncorrected energy = -16.55 eV/cell
Energy relative to the elements, uncorrected = 1.894 eV/atom
Offset from the most stable computed form = 0.0 meV per atom

Cell lengths 4.3354, 4.3354, 4.3354 Å; angles 90.00, 90.00, 90.00 degrees
Closest atoms and distances in Å follow each position.
Positions (direct):
B: 0.0000 0.0000 0.5000  2 Ag 2.17
Te: 0.5000 0.5000 0.5000  12 B 3.07
Ag: 0.0000 0.0000 0.0000  6 B 2.17
B: 0.0000 0.5000 0.0000  2 Ag 2.17
B: 0.5000 0.0000 0.0000  2 Ag 2.17


Entry 14:
VASP calculation (GGA-PBE) on crystalline ThAgB at its relaxed geometry.

Results
Crystal system = monoclinic
M_tot = 0.0 μB/f.u.
Uncorrected energy = -34.69 eV/cell

Cell lengths 3.8395, 4.9751, 7.1167 Å; angles 100.61, 90.00, 112.70 degrees
Closest atoms and distances in Å follow each position.
Positions (direct):
Ag: 0.6354 0.2708 0.4261  1 B 2.51
Th: 0.8849 0.7698 0.1870  5 B 2.69-2.89
B: 0.5833 0.1666 0.0662  1 B 1.63
Th: 0.1151 0.2302 0.8130  5 B 2.69-2.89
Ag: 0.3646 0.7292 0.5739  1 B 2.51
B: 0.4167 0.8334 0.9338  1 B 1.63